Density functional theory data (PBE) for a relaxed Rb3Ba4Rh crystal.

Output
Density   2602 kg/m3
DOS(E_F)   16.15 states/eV/cell
Energy of formation   25 meV/atom
Space-group type   Pmmn (59)

Cell lengths 6.028, 12.575, 15.298 Å; angles 90.00, 90.00, 90.00 degrees
Fractional positions:
Rb (0.936, 0.500, 0.639)
Rb (0.936, 0.302, 0.365)
Rb (0.436, 0.802, 0.635)
Rb (0.436, 0.000, 0.361)
Rb (0.936, 0.698, 0.365)
Rb (0.436, 0.198, 0.635)
Ba (0.436, 0.500, 0.879)
Ba (0.936, 0.233, 0.890)
Ba (0.936, 0.000, 0.121)
Ba (0.936, 0.500, 0.097)
Ba (0.436, 0.000, 0.903)
Ba (0.436, 0.267, 0.110)
Ba (0.936, 0.767, 0.890)
Ba (0.436, 0.733, 0.110)
Rh (0.936, 0.000, 0.933)
Rh (0.436, 0.500, 0.067)

---

Density functional theory data (PBE) for a relaxed Rb3Ba12Rh5 crystal.

Output
Density   3700 kg/m3
DOS(E_F)   70.86 states/eV/cell
Energy of formation   103 meV/atom
Space-group type   Ia-3d (230)

Cell lengths 17.801, 17.801, 17.801 Å; angles 109.47, 109.47, 109.47 degrees
Fractional positions:
Ba (0.403, 0.995, 0.313)
Ba (0.813, 0.903, 0.995)
Ba (0.090, 0.187, 0.183)
Ba (0.903, 0.090, 0.907)
Ba (0.683, 0.093, 0.995)
Ba (0.590, 0.683, 0.687)
Ba (0.187, 0.097, 0.005)
Ba (0.495, 0.313, 0.903)
Ba (0.597, 0.005, 0.687)
Ba (0.403, 0.407, 0.590)
Ba (0.907, 0.317, 0.505)
Ba (0.097, 0.187, 0.505)
Ba (0.097, 0.910, 0.093)
Ba (0.313, 0.495, 0.403)
Ba (0.593, 0.597, 0.910)
Ba (0.317, 0.410, 0.813)
Ba (0.683, 0.590, 0.187)
Ba (0.410, 0.317, 0.313)
Ba (0.187, 0.090, 0.683)
Ba (0.590, 0.907, 0.403)
Ba (0.817, 0.313, 0.910)
Ba (0.093, 0.683, 0.495)
Ba (0.317, 0.907, 0.005)
Ba (0.687, 0.505, 0.597)
Ba (0.910, 0.097, 0.593)
Ba (0.313, 0.817, 0.410)
Ba (0.817, 0.505, 0.407)
Ba (0.183, 0.495, 0.593)
Ba (0.910, 0.813, 0.817)
Ba (0.813, 0.910, 0.317)
Ba (0.005, 0.597, 0.187)
Ba (0.090, 0.903, 0.407)
Ba (0.995, 0.403, 0.813)
Ba (0.597, 0.593, 0.410)
Ba (0.410, 0.093, 0.597)
Ba (0.995, 0.593, 0.683)
Ba (0.093, 0.410, 0.097)
Ba (0.907, 0.590, 0.903)
Ba (0.903, 0.813, 0.495)
Ba (0.407, 0.005, 0.817)
Ba (0.593, 0.995, 0.183)
Ba (0.505, 0.687, 0.097)
Ba (0.505, 0.817, 0.907)
Ba (0.183, 0.687, 0.090)
Ba (0.407, 0.403, 0.090)
Ba (0.005, 0.407, 0.317)
Ba (0.687, 0.183, 0.590)
Ba (0.495, 0.183, 0.093)
Rh (0.750, 0.125, 0.875)
Rh (0.875, 0.250, 0.625)
Rh (0.000, 0.000, 0.500)
Rh (0.875, 0.625, 0.750)
Rh (0.500, 0.500, 0.500)
Rh (0.375, 0.250, 0.125)
Rh (0.125, 0.375, 0.250)
Rh (0.000, 0.500, 0.500)
Rh (0.250, 0.375, 0.625)
Rh (0.000, 0.000, 0.000)
Rh (0.500, 0.000, 0.000)
Rh (0.625, 0.750, 0.875)
Rh (0.500, 0.000, 0.500)
Rh (0.625, 0.875, 0.250)
Rh (0.000, 0.500, 0.000)
Rh (0.250, 0.875, 0.125)
Rh (0.750, 0.625, 0.375)
Rh (0.500, 0.500, 0.000)
Rh (0.125, 0.750, 0.375)
Rh (0.375, 0.125, 0.750)
Rb (0.625, 0.250, 0.375)
Rb (0.250, 0.625, 0.875)
Rb (0.750, 0.375, 0.125)
Rb (0.375, 0.750, 0.625)
Rb (0.875, 0.125, 0.250)
Rb (0.250, 0.125, 0.375)
Rb (0.875, 0.750, 0.125)
Rb (0.125, 0.875, 0.750)
Rb (0.750, 0.875, 0.625)
Rb (0.125, 0.250, 0.875)
Rb (0.375, 0.625, 0.250)
Rb (0.625, 0.375, 0.750)

---

Density functional theory data (PBE) for a relaxed RbBa2Rh crystal.

Output
Density   3641 kg/m3
DOS(E_F)   2.16 states/eV/cell
Energy of formation   -101 meV/atom
Relative energy among the computed polymorphs   0.000 eV/atom
Space-group type   C2/m (12)

Cell lengths 4.627, 4.628, 11.385 Å; angles 90.10, 90.00, 119.99 degrees
Fractional positions:
Ba (0.667, 0.334, 0.641)
Ba (0.333, 0.666, 0.359)
Rb (0.000, 0.000, 0.000)
Rh (0.000, 0.000, 0.500)